[1]
A plane-wave DFT calculation with PBE was carried out for an optimized crystal structure of ScNb2BAs. Values from VASP.

Cell and atoms, written as Quantum ESPRESSO input:
```
&SYSTEM
  ibrav = 0, nat = 5, ntyp = 4
/
ATOMIC_SPECIES
Sc 44.96 Sc.upf
As 74.92 As.upf
Nb 92.91 Nb.upf
B 10.81 B.upf
CELL_PARAMETERS angstrom
4.820 0.000 0.000
0.000 4.764 0.000
0.000 0.000 4.820
ATOMIC_POSITIONS angstrom
Sc 0.000 0.000 0.000
As 0.000 2.382 0.000
Nb 0.000 0.000 2.410
Nb 2.410 0.000 0.000
B 2.410 2.382 2.410
```

Summary:
The magnetic moment comes out at 0.0 μB per formula unit. The calculated density is 4.7 g cm⁻³. Its symmetry is P4/mmm. The density of states at the Fermi level is 1.175 states/eV/atom. The value obtained for the formation energy is 2.112 eV per atom.

---

[2]
A plane-wave DFT calculation with PBE was carried out for an optimized crystal structure of Sr2Zn9Cu6. Values from VASP.

Cell and atoms, written as Quantum ESPRESSO input:
```
&SYSTEM
  ibrav = 0, nat = 17, ntyp = 3
/
ATOMIC_SPECIES
Zn 65.41 Zn.upf
Cu 63.55 Cu.upf
Sr 87.62 Sr.upf
CELL_PARAMETERS angstrom
-0.663 -4.491 2.881
-0.008 -0.227 -5.372
12.261 -1.772 0.057
ATOMIC_POSITIONS angstrom
Zn 1.953 -0.396 -2.677
Zn 9.973 -3.735 1.489
Zn 1.625 -2.528 1.450
Zn 1.621 -2.642 -1.236
Zn 5.795 -3.245 -1.217
Zn 5.799 -3.132 1.469
Zn 9.969 -3.848 -1.197
Zn 10.301 -1.603 -2.638
Zn 6.127 -1.000 -2.657
Cu 3.590 -3.653 0.149
Cu 7.782 -4.259 0.168
Cu 8.000 -2.837 -2.582
Cu 3.809 -2.231 -2.602
Cu -0.444 -3.069 0.130
Cu -0.226 -1.648 -2.621
Sr 3.996 -0.578 0.019
Sr 8.265 -1.195 0.038
```

Summary:
The magnetic moment comes out at 0.0 μB per formula unit. The calculated density is 6.1 g cm⁻³. Its symmetry is P6/mmm. The density of states at the Fermi level is 0.301 states/eV/atom. The value obtained for the formation energy is -0.056 eV per atom.

---

[3]
A plane-wave DFT calculation with PBE was carried out for an optimized crystal structure of LaCe2Pr8. Values from VASP.

Cell and atoms, written as Quantum ESPRESSO input:
```
&SYSTEM
  ibrav = 0, nat = 11, ntyp = 3
/
ATOMIC_SPECIES
La 138.91 La.upf
Pr 140.91 Pr.upf
Ce 140.12 Ce.upf
CELL_PARAMETERS angstrom
-1.783 -0.241 5.391
-5.723 -5.869 -2.156
9.183 -2.803 -0.083
ATOMIC_POSITIONS angstrom
La -0.892 -0.121 2.695
Pr -4.016 -4.119 -1.513
Pr -0.039 -7.062 2.667
Pr -1.044 -3.516 2.493
Pr 2.721 -5.397 0.659
Pr -3.383 -5.915 1.612
Pr 5.693 -4.794 4.665
Pr 5.061 -2.998 1.540
Pr 1.717 -1.852 0.485
Ce -0.697 -5.269 -0.466
Ce 2.374 -3.644 3.618
```

Summary:
The magnetic moment comes out at 1.6 μB per formula unit. The calculated density is 6.6 g cm⁻³. Its symmetry is Immm. The density of states at the Fermi level is 1.978 states/eV/atom. The value obtained for the formation energy is 0.149 eV per atom.

---

[4]
A plane-wave DFT calculation with PBE was carried out for an optimized crystal structure of KCrSb2. Values from VASP.

Cell and atoms, written as Quantum ESPRESSO input:
```
&SYSTEM
  ibrav = 0, nat = 4, ntyp = 3
/
ATOMIC_SPECIES
Cr 52.00 Cr.upf
Sb 121.76 Sb.upf
K 39.10 K.upf
CELL_PARAMETERS angstrom
-3.029 5.211 -2.590
-6.078 -1.594 -1.883
4.497 1.048 4.659
ATOMIC_POSITIONS angstrom
Cr -1.542 4.033 -0.084
Sb -8.666 3.441 -4.256
Sb -4.994 1.983 -2.453
K -3.067 0.631 0.270
```

Summary:
The magnetic moment comes out at 3.2 μB per formula unit. The calculated density is 4.7 g cm⁻³. Its symmetry is Immm. The density of states at the Fermi level is 0.618 states/eV/atom. The value obtained for the offset from the most stable computed form is 242 meV/atom. As for the formation energy from raw total energies: 15.89 kJ/mol of atoms.

---

[5]
A plane-wave DFT calculation with PBE was carried out for an optimized crystal structure of Tb3Eu. Values from VASP.

Cell and atoms, written as Quantum ESPRESSO input:
```
&SYSTEM
  ibrav = 0, nat = 4, ntyp = 2
/
ATOMIC_SPECIES
Tb 158.93 Tb.upf
Eu 151.96 Eu.upf
CELL_PARAMETERS angstrom
5.110 0.000 0.000
0.000 5.110 0.000
0.000 0.000 5.110
ATOMIC_POSITIONS angstrom
Tb 2.555 0.000 2.555
Tb 0.000 2.555 2.555
Tb 2.555 2.555 0.000
Eu 0.000 0.000 0.000
```

Summary:
The magnetic moment comes out at 7.1 μB per formula unit. The calculated density is 7.8 g cm⁻³. Its symmetry is Pm-3m. The density of states at the Fermi level is 1.455 states/eV/atom. The value obtained for the offset from the most stable computed form is 15 meV/atom. The value obtained for the formation energy is 0.086 eV per atom.

---

[6]
A plane-wave DFT calculation with PBE was carried out for an optimized crystal structure of BaSn3Sb3. Values from VASP.

Cell and atoms, written as Quantum ESPRESSO input:
```
&SYSTEM
  ibrav = 0, nat = 14, ntyp = 3
/
ATOMIC_SPECIES
Sn 118.71 Sn.upf
Sb 121.76 Sb.upf
Ba 137.33 Ba.upf
CELL_PARAMETERS angstrom
8.380 0.000 0.000
0.000 8.380 0.000
0.000 0.000 8.380
ATOMIC_POSITIONS angstrom
Sn 4.190 2.095 0.000
Sn 2.095 0.000 4.190
Sn 6.285 0.000 4.190
Sn 0.000 4.190 6.285
Sn 0.000 4.190 2.095
Sn 4.190 6.285 0.000
Sb 4.190 0.000 2.095
Sb 0.000 6.285 4.190
Sb 0.000 2.095 4.190
Sb 2.095 4.190 0.000
Sb 6.285 4.190 0.000
Sb 4.190 0.000 6.285
Ba 0.000 0.000 0.000
Ba 4.190 4.190 4.190
```

Summary:
The magnetic moment comes out at 0.0 μB per formula unit. The calculated density is 4.8 g cm⁻³. Its symmetry is Pm-3n. The density of states at the Fermi level is 0.535 states/eV/atom. The value obtained for the offset from the most stable computed form is 188 meV/atom. As for the formation energy from raw total energies: -0.63 kJ/mol of atoms.

---

[7]
A plane-wave DFT calculation with PBE was carried out for an optimized crystal structure of SmY4Pd. Values from VASP.

Cell and atoms, written as Quantum ESPRESSO input:
```
&SYSTEM
  ibrav = 0, nat = 12, ntyp = 3
/
ATOMIC_SPECIES
Sm 150.36 Sm.upf
Y 88.91 Y.upf
Pd 106.42 Pd.upf
CELL_PARAMETERS angstrom
6.122 -0.614 0.000
-2.376 9.075 0.000
-1.873 -4.230 6.599
ATOMIC_POSITIONS angstrom
Sm 1.530 -0.154 5.213
Sm 0.342 4.384 1.385
Y 3.556 6.098 1.283
Y 0.069 0.976 2.299
Y -1.119 5.514 4.299
Y 1.804 3.254 4.299
Y -1.378 2.174 5.316
Y 3.251 2.056 1.283
Y 2.992 -1.284 2.299
Y -1.683 -1.867 5.316
Pd 1.530 -0.154 0.014
Pd 0.342 4.384 6.585
```

Summary:
The magnetic moment comes out at 0.0 μB per formula unit. The calculated density is 5.7 g cm⁻³. Its symmetry is C2/c. The density of states at the Fermi level is 1.314 states/eV/atom. The value obtained for the formation energy is -0.203 eV per atom.

---

[8]
A plane-wave DFT calculation with PBE was carried out for an optimized crystal structure of Pu2PdC. Values from VASP.

Cell and atoms, written as Quantum ESPRESSO input:
```
&SYSTEM
  ibrav = 0, nat = 4, ntyp = 3
/
ATOMIC_SPECIES
Pu 244.00 Pu.upf
Pd 106.42 Pd.upf
C 12.01 C.upf
CELL_PARAMETERS angstrom
-3.098 -0.975 0.387
-0.644 -2.880 1.410
-1.484 2.461 8.142
ATOMIC_POSITIONS angstrom
Pu -1.407 1.248 5.700
Pu -3.818 -2.643 4.239
Pd 0.000 0.000 0.000
C -2.613 -0.697 4.970
```

Summary:
The magnetic moment comes out at 10.3 μB per formula unit. The calculated density is 12.9 g cm⁻³. Its symmetry is R-3m. The density of states at the Fermi level is 3.272 states/eV/atom. The value obtained for the offset from the most stable computed form is 184 meV/atom. The value obtained for the formation energy is 0.055 eV per atom.

---

[9]
A plane-wave DFT calculation with PBE was carried out for an optimized crystal structure of ReS3O. Values from VASP.

Cell and atoms, written as Quantum ESPRESSO input:
```
&SYSTEM
  ibrav = 0, nat = 5, ntyp = 3
/
ATOMIC_SPECIES
Re 186.21 Re.upf
O 16.00 O.upf
S 32.06 S.upf
CELL_PARAMETERS angstrom
-0.128 -4.070 0.279
3.740 -0.228 -1.620
1.631 0.205 3.736
ATOMIC_POSITIONS angstrom
Re 2.622 -2.047 1.197
O 0.000 0.000 0.000
S 1.870 -0.114 -0.810
S 0.816 0.102 1.868
S -0.064 -2.035 0.139
```

Summary:
The magnetic moment comes out at 0.0 μB per formula unit. The calculated density is 7.3 g cm⁻³. Its symmetry is Pm-3m. The density of states at the Fermi level is 0.679 states/eV/atom. The value obtained for the offset from the most stable computed form is 416 meV/atom. As for the formation energy from raw total energies: 121.19 kJ/mol of atoms.

---

[10]
A plane-wave DFT calculation with PBE was carried out for an optimized crystal structure of Cs2In7Sb. Values from VASP.

Cell and atoms, written as Quantum ESPRESSO input:
```
&SYSTEM
  ibrav = 0, nat = 10, ntyp = 3
/
ATOMIC_SPECIES
Cs 132.91 Cs.upf
In 114.82 In.upf
Sb 121.76 Sb.upf
CELL_PARAMETERS angstrom
5.223 0.000 0.000
0.000 5.223 0.000
0.000 0.000 12.528
ATOMIC_POSITIONS angstrom
Cs 0.000 2.611 3.091
Cs 2.611 0.000 9.437
In 2.611 0.000 4.657
In 0.000 0.000 0.000
In 2.611 0.000 1.655
In 2.611 2.611 6.264
In 0.000 2.611 7.871
In 0.000 0.000 6.264
In 0.000 2.611 10.873
Sb 2.611 2.611 0.000
```

Summary:
The magnetic moment comes out at 0.0 μB per formula unit. The calculated density is 5.8 g cm⁻³. Its symmetry is P-4m2. The density of states at the Fermi level is 0.551 states/eV/atom. As for the formation energy from raw total energies: -13.41 kJ/mol of atoms.

---

[11]
A plane-wave DFT calculation with PBE was carried out for an optimized crystal structure of KAcH3. Values from VASP.

Cell and atoms, written as Quantum ESPRESSO input:
```
&SYSTEM
  ibrav = 0, nat = 5, ntyp = 3
/
ATOMIC_SPECIES
K 39.10 K.upf
H 1.01 H.upf
Ac 227.00 Ac.upf
CELL_PARAMETERS angstrom
-3.753 -1.261 2.789
2.487 -3.829 1.615
1.784 2.684 3.615
ATOMIC_POSITIONS angstrom
K 0.259 -1.203 4.009
H 0.892 1.342 1.807
H -1.876 -0.630 1.394
H 1.243 -1.914 0.808
Ac 0.000 0.000 0.000
```

Summary:
For the uncorrected energy, the calculation gives -16.31 eV/cell. The magnetic moment comes out at 0.0 μB per formula unit. The calculated density is 3.9 g cm⁻³. Its symmetry is Pm-3m. The density of states at the Fermi level is 0.289 states/eV/atom.

---

[12]
A plane-wave DFT calculation with PBE was carried out for an optimized crystal structure of MnV6Ru2. Values from VASP.

Cell and atoms, written as Quantum ESPRESSO input:
```
&SYSTEM
  ibrav = 0, nat = 9, ntyp = 3
/
ATOMIC_SPECIES
Mn 54.94 Mn.upf
V 50.94 V.upf
Ru 101.07 Ru.upf
CELL_PARAMETERS angstrom
4.118 0.000 -0.158
0.000 5.716 0.000
-1.827 -2.858 6.030
ATOMIC_POSITIONS angstrom
Mn 0.000 0.000 0.000
V 0.073 4.317 1.893
V 2.217 1.458 3.979
V 0.073 1.400 1.893
V 2.059 1.339 -0.079
V 2.217 -1.458 3.979
V 2.059 4.377 -0.079
Ru 2.136 2.858 1.919
Ru 0.154 0.000 3.953
```

Summary:
The magnetic moment comes out at 0.0 μB per formula unit. The calculated density is 6.7 g cm⁻³. Its symmetry is Immm. The density of states at the Fermi level is 0.827 states/eV/atom. The value obtained for the formation energy is 0.344 eV per atom.